(1)
Hf2TcW | GGA-PBE | optimized geometry

Output
- M_tot: 0.00 μB/atom
- Symmetry: R-3m, No. 166
- ΔH_f (0 K): 484.9 meV per atom
- Uncorrected energy: -10.32 eV/atom
- N(E_F): 3.02 states/eV/f.u.

Unit cell a=3.053 b=3.053 c=9.717 alpha=80.96 beta=80.96 gamma=60.00
Atoms (fractional coordinates):
Hf1 0.094 0.094 0.717
Hf2 0.906 0.906 0.283
Tc1 0.500 0.500 0.500
W1 0.000 0.000 0.000

(2)
Hf5Tc6W | GGA-PBE | optimized geometry

Output
- M_tot: 0.00 μB/atom
- Symmetry: Cmmm, No. 65
- ΔH_f (0 K): -449.9 meV per atom
- Uncorrected energy: -10.86 eV/atom
- N(E_F): 9.83 states/eV/f.u.

Unit cell a=4.579 b=6.479 c=7.237 alpha=90.00 beta=71.58 gamma=90.00
Atoms (fractional coordinates):
Hf1 0.666 0.500 0.667
Hf2 0.333 0.000 0.333
Hf3 0.000 0.500 0.000
Hf4 0.667 0.000 0.667
Hf5 0.334 0.500 0.333
Tc1 0.837 0.754 0.325
Tc2 0.837 0.246 0.325
Tc3 0.500 0.242 0.000
Tc4 0.500 0.758 0.000
Tc5 0.163 0.754 0.675
Tc6 0.163 0.246 0.675
W1 0.000 0.000 0.000

(3)
HfTc2W2 | GGA-PBE | optimized geometry

Output
- M_tot: 0.00 μB/atom
- Symmetry: Cmmm, No. 65
- ΔH_f (0 K): 99.7 meV per atom
- Uncorrected energy: -11.22 eV/atom
- N(E_F): 2.81 states/eV/f.u.

Unit cell a=3.150 b=3.106 c=8.822 alpha=79.86 beta=90.00 gamma=90.00
Atoms (fractional coordinates):
Hf1 0.000 0.000 0.000
Tc1 0.500 0.400 0.199
Tc2 0.500 0.600 0.801
W1 0.000 0.187 0.627
W2 0.000 0.813 0.373

(4)
HfTc2W | GGA-PBE | optimized geometry

Output
- M_tot: 0.00 μB/atom
- Symmetry: Fm-3m, No. 225
- E above lowest polymorph: 0.0000 eV per atom
- ΔH_f (0 K): -347.2 meV per atom
- Uncorrected energy: -11.26 eV/atom
- N(E_F): 0.97 states/eV/f.u.

Unit cell a=4.509 b=4.509 c=4.509 alpha=60.00 beta=60.00 gamma=60.00
Atoms (fractional coordinates):
Hf1 0.000 0.000 0.000
Tc1 0.250 0.250 0.250
Tc2 0.750 0.750 0.750
W1 0.500 0.500 0.500